#1
A PBEsol-optimized structure of KTeCl2, computed with SCAN.

Properties
V, Å³/atom: 27.28

a = 6.140 Å, b = 6.140 Å, c = 6.140 Å
α = 148.45°, β = 113.56°, γ = 75.41°
Fractional positions:
K 0.000 0.000 0.000
Te 0.500 0.500 0.000
Cl 0.264 0.764 0.500
Cl 0.736 0.236 0.500

---

#2
A PBEsol-optimized structure of KTeCl2, computed with SCAN.

Properties
V, Å³/atom: 30.84

a = 4.628 Å, b = 4.525 Å, c = 5.899 Å
α = 90.00°, β = 93.22°, γ = 90.00°
Fractional positions:
K 0.000 0.000 0.000
Te 0.500 0.000 0.500
Cl 0.309 0.500 0.719
Cl 0.691 0.500 0.281

---

Referenced to the most stable arrangement, the calculated values in meV/atom are #1 26; #2 0.

---

#1
A PBEsol-optimized structure of KTeCl2, computed with SCAN.

Properties
V, Å³/atom: 32.72

a = 4.887 Å, b = 4.887 Å, c = 5.764 Å
α = 90.00°, β = 90.00°, γ = 108.03°
Fractional positions:
K 0.000 0.000 0.000
Te 0.500 0.500 0.500
Cl 0.000 0.000 0.500
Cl 0.500 0.500 0.000

---

#2
A PBEsol-optimized structure of KTeCl2, computed with SCAN.

Properties
V, Å³/atom: 24.18

a = 3.396 Å, b = 3.396 Å, c = 8.388 Å
α = 90.00°, β = 90.00°, γ = 90.00°
Fractional positions:
K 0.000 0.000 0.000
Te 0.000 0.000 0.500
Cl 0.500 0.500 0.229
Cl 0.500 0.500 0.771

---

Referenced to the most stable arrangement, the calculated values in meV/atom are #1 0; #2 58.

---

#1
A PBEsol-optimized structure of KTlCl, computed with SCAN.

Properties
V, Å³/atom: 30.43

a = 5.342 Å, b = 5.342 Å, c = 3.694 Å
α = 90.00°, β = 90.00°, γ = 120.00°
Fractional positions:
K 0.000 0.000 0.000
Tl 0.333 0.667 0.500
Cl 0.667 0.333 0.504

---

#2
A PBEsol-optimized structure of KTlCl, computed with SCAN.

Properties
V, Å³/atom: 31.97

a = 3.964 Å, b = 3.964 Å, c = 7.048 Å
α = 90.00°, β = 90.00°, γ = 120.00°
Fractional positions:
K 0.000 0.000 0.000
Tl 0.333 0.667 0.587
Cl 0.667 0.333 0.255

---

Referenced to the most stable arrangement, the calculated values in meV/atom are #1 63; #2 0.

---

#1
A PBEsol-optimized structure of K2WCl, computed with SCAN.

Properties
V, Å³/atom: 33.20

a = 5.727 Å, b = 5.727 Å, c = 5.727 Å
α = 60.00°, β = 60.00°, γ = 60.00°
Fractional positions:
K 0.250 0.250 0.250
K 0.750 0.750 0.750
W 0.000 0.000 0.000
Cl 0.500 0.500 0.500

---

#2
A PBEsol-optimized structure of K2WCl, computed with SCAN.

Properties
V, Å³/atom: 31.95

a = 5.654 Å, b = 5.654 Å, c = 5.654 Å
α = 60.00°, β = 60.00°, γ = 60.00°
Fractional positions:
K 0.000 0.000 0.000
K 0.250 0.250 0.250
W 0.750 0.750 0.750
Cl 0.500 0.500 0.500

---

Referenced to the most stable arrangement, the calculated values in meV/atom are #1 0; #2 205.

---

#1
A PBEsol-optimized structure of KW2Cl, computed with SCAN.

Properties
V, Å³/atom: 17.17

a = 4.597 Å, b = 4.597 Å, c = 4.597 Å
α = 60.00°, β = 60.00°, γ = 60.00°
Fractional positions:
K 0.000 0.000 0.000
W 0.250 0.250 0.250
W 0.750 0.750 0.750
Cl 0.500 0.500 0.500

---

#2
A PBEsol-optimized structure of KW2Cl, computed with SCAN.

Properties
V, Å³/atom: 18.85

a = 2.731 Å, b = 2.731 Å, c = 10.110 Å
α = 90.00°, β = 90.00°, γ = 90.00°
Fractional positions:
K 0.000 0.000 0.000
W 0.500 0.500 0.299
W 0.500 0.500 0.701
Cl 0.000 0.000 0.500

---

Referenced to the most stable arrangement, the calculated values in meV/atom are #1 1402; #2 0.

---

#1
A PBEsol-optimized structure of KZrCl2, computed with SCAN.

Properties
V, Å³/atom: 24.57

a = 3.623 Å, b = 3.623 Å, c = 7.490 Å
α = 90.00°, β = 90.00°, γ = 90.00°
Fractional positions:
K 0.000 0.000 0.000
Zr 0.500 0.500 0.429
Cl 0.000 0.000 0.483
Cl 0.500 0.500 0.773

---

#2
A PBEsol-optimized structure of KZrCl2, computed with SCAN.

Properties
V, Å³/atom: 23.87

a = 5.419 Å, b = 5.419 Å, c = 3.252 Å
α = 90.68°, β = 90.68°, γ = 90.06°
Fractional positions:
K 0.000 0.000 0.000
Zr 0.500 0.500 0.000
Cl 0.000 0.500 0.000
Cl 0.500 0.000 0.000

---

Referenced to the most stable arrangement, the calculated values in meV/atom are #1 0; #2 103.

---

#1
A PBEsol-optimized structure of KZrCl, computed with SCAN.

Properties
V, Å³/atom: 31.20

a = 5.096 Å, b = 5.096 Å, c = 5.096 Å
α = 60.00°, β = 60.00°, γ = 60.00°
Fractional positions:
K 0.000 0.000 0.000
Zr 0.750 0.750 0.750
Cl 0.500 0.500 0.500

---

#2
A PBEsol-optimized structure of KZrCl, computed with SCAN.

Properties
V, Å³/atom: 24.59

a = 3.390 Å, b = 3.390 Å, c = 7.411 Å
α = 90.00°, β = 90.00°, γ = 120.00°
Fractional positions:
K 0.000 0.000 0.000
Zr 0.333 0.667 0.570
Cl 0.667 0.333 0.329

---

Referenced to the most stable arrangement, the calculated values in meV/atom are #1 1300; #2 0.

---

#1
A PBEsol-optimized structure of KZr2Cl, computed with SCAN.

Properties
V, Å³/atom: 28.55

a = 6.541 Å, b = 6.541 Å, c = 6.541 Å
α = 152.40°, β = 117.00°, γ = 70.11°
Fractional positions:
K 0.000 0.000 0.000
Zr 0.435 0.435 0.000
Zr 0.659 0.159 0.500
Cl 0.242 0.742 0.500

---

#2
A PBEsol-optimized structure of KZr2Cl, computed with SCAN.

Properties
V, Å³/atom: 24.44

a = 3.190 Å, b = 3.190 Å, c = 9.609 Å
α = 90.00°, β = 90.00°, γ = 90.00°
Fractional positions:
K 0.000 0.000 0.000
Zr 0.000 0.000 0.565
Zr 0.500 0.500 0.350
Cl 0.500 0.500 0.776

---

#3
A PBEsol-optimized structure of KZr2Cl, computed with SCAN.

Properties
V, Å³/atom: 27.32

a = 3.070 Å, b = 5.530 Å, c = 6.437 Å
α = 90.00°, β = 90.00°, γ = 90.00°
Fractional positions:
K 0.000 0.000 0.000
Zr 0.500 0.245 0.500
Zr 0.500 0.755 0.500
Cl 0.000 0.500 0.000

---

Referenced to the most stable arrangement, the calculated values in meV/atom are #1 563; #2 0; #3 857.

---

#1
A PBEsol-optimized structure of La3Cl, computed with SCAN.

Properties
V, Å³/atom: 28.61

a = 6.081 Å, b = 6.081 Å, c = 6.081 Å
α = 144.85°, β = 75.60°, γ = 115.54°
Fractional positions:
La 0.000 0.000 0.000
La 0.207 0.406 0.801
La 0.605 0.406 0.199
Cl 0.648 0.148 0.500

---

#2
A PBEsol-optimized structure of La3Cl, computed with SCAN.

Properties
V, Å³/atom: 30.12

a = 10.356 Å, b = 10.356 Å, c = 10.356 Å
α = 20.61°, β = 20.61°, γ = 20.61°
Fractional positions:
La 0.000 0.000 0.000
La 0.239 0.239 0.239
La 0.761 0.761 0.761
Cl 0.500 0.500 0.500

---

Referenced to the most stable arrangement, the calculated values in meV/atom are #1 137; #2 0.

---

#1
A PBEsol-optimized structure of LaMg2Cl, computed with SCAN.

Properties
V, Å³/atom: 27.24

a = 6.364 Å, b = 6.364 Å, c = 6.364 Å
α = 148.26°, β = 125.67°, γ = 64.30°
Fractional positions:
La 0.000 0.000 0.000
Mg 0.286 0.786 0.500
Mg 0.572 0.572 0.000
Cl 0.787 0.287 0.500

---

#2
A PBEsol-optimized structure of LaMg2Cl, computed with SCAN.

Properties
V, Å³/atom: 25.77

a = 5.406 Å, b = 5.406 Å, c = 6.322 Å
α = 108.55°, β = 108.55°, γ = 36.30°
Fractional positions:
La 0.000 0.000 0.000
Mg 0.559 0.559 0.521
Mg 0.805 0.805 0.376
Cl 0.248 0.248 0.862

---

Referenced to the most stable arrangement, the calculated values in meV/atom are #1 98; #2 0.

---

#1
A PBEsol-optimized structure of La2MgCl, computed with SCAN.

Properties
V, Å³/atom: 28.08

a = 3.506 Å, b = 3.506 Å, c = 10.250 Å
α = 90.00°, β = 90.00°, γ = 116.95°
Fractional positions:
La 0.000 0.000 0.000
La 0.500 0.500 0.294
Mg 0.500 0.500 0.728
Cl 0.000 0.000 0.525

---

#2
A PBEsol-optimized structure of La2MgCl, computed with SCAN.

Properties
V, Å³/atom: 26.97

a = 5.343 Å, b = 5.343 Å, c = 5.343 Å
α = 60.00°, β = 60.00°, γ = 60.00°
Fractional positions:
La 0.000 0.000 0.000
La 0.250 0.250 0.250
Mg 0.750 0.750 0.750
Cl 0.500 0.500 0.500

---

#3
A PBEsol-optimized structure of La2MgCl, computed with SCAN.

Properties
V, Å³/atom: 29.44

a = 8.153 Å, b = 8.153 Å, c = 8.153 Å
α = 29.70°, β = 29.70°, γ = 29.70°
Fractional positions:
La 0.234 0.234 0.234
La 0.766 0.766 0.766
Mg 0.000 0.000 0.000
Cl 0.500 0.500 0.500

---

Referenced to the most stable arrangement, the calculated values in meV/atom are #1 176; #2 693; #3 0.

---

#1
A PBEsol-optimized structure of LaMnCl2, computed with SCAN.

Properties
V, Å³/atom: 24.09

a = 9.432 Å, b = 9.432 Å, c = 9.432 Å
α = 21.23°, β = 21.23°, γ = 21.23°
Fractional positions:
La 0.000 0.000 0.000
Mn 0.500 0.500 0.500
Cl 0.259 0.259 0.259
Cl 0.741 0.741 0.741

---

#2
A PBEsol-optimized structure of LaMnCl2, computed with SCAN.

Properties
V, Å³/atom: 22.11

a = 3.588 Å, b = 3.588 Å, c = 6.870 Å
α = 90.00°, β = 90.00°, γ = 90.00°
Fractional positions:
La 0.000 0.000 0.000
Mn 0.500 0.500 0.308
Cl 0.000 0.000 0.424
Cl 0.500 0.500 0.759

---

Referenced to the most stable arrangement, the calculated values in meV/atom are #1 210; #2 0.

---

#1
A PBEsol-optimized structure of La2MnCl, computed with SCAN.

Properties
V, Å³/atom: 22.70

a = 3.366 Å, b = 3.366 Å, c = 8.015 Å
α = 90.00°, β = 90.00°, γ = 90.00°
Fractional positions:
La 0.000 0.000 0.218
La 0.000 0.000 0.782
Mn 0.500 0.500 0.000
Cl 0.500 0.500 0.500

---

#2
A PBEsol-optimized structure of La2MnCl, computed with SCAN.

Properties
V, Å³/atom: 23.54

a = 5.107 Å, b = 5.107 Å, c = 5.107 Å
α = 60.00°, β = 60.00°, γ = 60.00°
Fractional positions:
La 0.000 0.000 0.000
La 0.250 0.250 0.250
Mn 0.750 0.750 0.750
Cl 0.500 0.500 0.500

---

Referenced to the most stable arrangement, the calculated values in meV/atom are #1 0; #2 616.

---

#1
A PBEsol-optimized structure of LaMoCl2, computed with SCAN.

Properties
V, Å³/atom: 20.82

a = 3.527 Å, b = 3.527 Å, c = 6.692 Å
α = 90.00°, β = 90.00°, γ = 90.00°
Fractional positions:
La 0.000 0.000 0.000
Mo 0.000 0.000 0.500
Cl 0.500 0.500 0.236
Cl 0.500 0.500 0.764

---

#2
A PBEsol-optimized structure of LaMoCl2, computed with SCAN.

Properties
V, Å³/atom: 22.28

a = 6.160 Å, b = 6.160 Å, c = 6.160 Å
α = 147.77°, β = 133.91°, γ = 57.36°
Fractional positions:
La 0.000 0.000 0.000
Mo 0.500 0.500 0.000
Cl 0.333 0.833 0.500
Cl 0.667 0.167 0.500

---

#3
A PBEsol-optimized structure of LaMoCl2, computed with SCAN.

Properties
V, Å³/atom: 19.85

a = 4.824 Å, b = 4.824 Å, c = 4.824 Å
α = 60.00°, β = 60.00°, γ = 60.00°
Fractional positions:
La 0.000 0.000 0.000
Mo 0.500 0.500 0.500
Cl 0.250 0.250 0.250
Cl 0.750 0.750 0.750

---

Referenced to the most stable arrangement, the calculated values in meV/atom are #1 375; #2 0; #3 330.